Entry 1:
DFT (PBE) results for a geometry-optimized Sr2YCu3Pb2O8 structure.

Cell lengths 15.951, 5.469, 5.428 Å; angles 90.00, 90.55, 90.00 degrees
Sites, in units of the cell vectors:
1 Sr 0.221 0.000 0.007
2 Sr 0.221 0.500 0.507
3 Sr 0.779 0.000 0.993
4 Sr 0.779 0.500 0.493
5 Y 0.000 0.000 0.000
6 Y 0.000 0.500 0.500
7 Cu 0.105 0.000 0.502
8 Cu 0.105 0.500 0.002
9 Cu 0.500 0.000 0.000
10 Cu 0.500 0.500 0.500
11 Cu 0.895 0.000 0.498
12 Cu 0.895 0.500 0.998
13 Pb 0.389 0.007 0.498
14 Pb 0.389 0.493 0.998
15 Pb 0.611 0.507 0.002
16 Pb 0.611 0.993 0.502
17 O 0.091 0.750 0.252
18 O 0.091 0.750 0.752
19 O 0.093 0.250 0.252
20 O 0.093 0.250 0.752
21 O 0.251 0.511 0.009
22 O 0.251 0.989 0.509
23 O 0.386 0.061 0.050
24 O 0.386 0.439 0.550
25 O 0.614 0.561 0.450
26 O 0.614 0.939 0.950
27 O 0.749 0.011 0.491
28 O 0.749 0.489 0.991
29 O 0.907 0.750 0.248
30 O 0.907 0.750 0.748
31 O 0.909 0.250 0.248
32 O 0.909 0.250 0.748

Calculated values
Final energy (eV per cell): -193.400
Crystal system: monoclinic
Raw formation energy (meV/atom): -1719



Entry 2:
DFT (PBE) results for a geometry-optimized Sr2YCu3Pb2O8 structure.

Cell lengths 3.862, 3.833, 15.949 Å; angles 90.00, 90.89, 90.00 degrees
Sites, in units of the cell vectors:
1 Sr 0.015 0.000 0.221
2 Sr 0.985 0.000 0.779
3 Y 0.000 0.000 0.000
4 Cu 0.000 0.000 0.500
5 Cu 0.493 0.500 0.895
6 Cu 0.507 0.500 0.105
7 Pb 0.500 0.500 0.389
8 Pb 0.500 0.500 0.611
9 O 0.006 0.500 0.092
10 O 0.087 0.000 0.385
11 O 0.480 0.500 0.749
12 O 0.494 0.000 0.909
13 O 0.506 0.000 0.091
14 O 0.520 0.500 0.251
15 O 0.913 0.000 0.615
16 O 0.994 0.500 0.908

Calculated values
Final energy (eV per cell): -96.602
Crystal system: monoclinic
Raw formation energy (meV/atom): -1713



Entry 3:
DFT (PBE) results for a geometry-optimized Sr2YCu2PbO7 structure.

Cell lengths 3.819, 3.819, 12.419 Å; angles 90.00, 90.00, 90.00 degrees
Sites, in units of the cell vectors:
1 Sr 0.000 0.000 0.213
2 Sr 0.000 0.000 0.787
3 Y 0.000 0.000 0.500
4 Cu 0.500 0.500 0.361
5 Cu 0.500 0.500 0.639
6 Pb 0.500 0.500 0.000
7 O 0.000 0.000 0.000
8 O 0.000 0.500 0.383
9 O 0.000 0.500 0.617
10 O 0.500 0.000 0.383
11 O 0.500 0.000 0.617
12 O 0.500 0.500 0.185
13 O 0.500 0.500 0.815

Calculated values
Final energy (eV per cell): -81.079
Crystal system: tetragonal
Raw formation energy (meV/atom): -1896



Entry 4:
DFT (PBE) results for a geometry-optimized TaCuPb2O6 structure.

Cell lengths 5.282, 5.296, 11.246 Å; angles 90.00, 117.19, 90.00 degrees
Sites, in units of the cell vectors:
1 Ta 0.000 0.000 0.000
2 Ta 0.000 0.500 0.500
3 Cu 0.500 0.000 0.500
4 Cu 0.500 0.500 0.000
5 Pb 0.255 0.022 0.743
6 Pb 0.255 0.478 0.243
7 Pb 0.745 0.522 0.757
8 Pb 0.745 0.978 0.257
9 O 0.116 0.049 0.196
10 O 0.116 0.451 0.696
11 O 0.216 0.193 0.506
12 O 0.216 0.307 0.006
13 O 0.356 0.714 0.552
14 O 0.356 0.786 0.052
15 O 0.644 0.214 0.948
16 O 0.644 0.286 0.448
17 O 0.784 0.693 0.994
18 O 0.784 0.807 0.494
19 O 0.884 0.549 0.304
20 O 0.884 0.951 0.804

Calculated values
Final energy (eV per cell): -136.743
Crystal system: monoclinic
Raw formation energy (meV/atom): -1526